Here is DyBiCl after structural relaxation from Alexandria. Energies are from PBE-GGA.

VASP energy (eV/atom): -4.447
Symmetry: P-6m2
Raw formation energy (eV per atom): -1.0034
Calculated density (g/cm3): 8.53
Excess energy over the best structure of this formula in the dataset (eV per atom): 0.140
Magnetization (μB per formula unit): 0.0

POSCAR file:
```
DyBiCl
1.0
4.952 0.000 0.000
-2.476 4.288 0.000
0.000 0.000 3.732
Dy Bi Cl
1 1 1
Cartesian
0.000 0.000 0.000
2.476 1.429 1.866
0.000 2.859 0.000
```

***

Here is Nd2Tm4ThSc after structural relaxation from Alexandria. Energies are from PBE-GGA.

VASP energy (eV/atom): -5.020
Symmetry: P4/mmm
Calculated density (g/cm3): 8.30
Magnetization (μB per formula unit): 0.0
Formation energy (eV per atom): 0.126

POSCAR file:
```
Nd2Tm4ThSc
1.0
5.752 0.000 0.000
0.000 5.752 0.000
0.000 0.000 7.509
Nd Tm Th Sc
2 4 1 1
Cartesian
0.000 0.000 0.000
2.876 2.876 3.754
0.000 2.876 1.832
0.000 2.876 5.677
2.876 0.000 1.832
2.876 0.000 5.677
0.000 0.000 3.754
2.876 2.876 0.000
```